LiLaGe2O: optimized geometry, GGA-PBE.

**Space group**: P4/mmm
**ΔE_f (raw)**: -413 meV/atom
**E_tot**: -23.099 eV/f.u.

Lattice parameters (Å, degrees): 5.152 5.152 3.611 90.00 90.00 90.00
Fractional coordinates of all 5 atoms:
Li 0.000 0.000 0.000
La 0.500 0.500 0.500
Ge 0.000 0.500 0.000
Ge 0.500 0.000 0.000
O 0.000 0.000 0.500